First-principles (GGA-PBEsol) data for Ni17As6O32 after structural relaxation, as listed in Alexandria via LeMat-Bulk.

Values from the calculation:
E_form (uncorrected), meV/atom: -800
Density of states at the Fermi level, states/eV per cell: 18.49
Size of the total moment, μB/cell: 32.8

abc: 9.789 5.923 10.184
angles: 90.00 110.26 90.00
Sites, in units of the cell vectors:
Ni (0.000, 0.000, 0.000)
Ni (0.000, 0.260, 0.259)
Ni (0.000, 0.260, 0.741)
Ni (0.000, 0.740, 0.259)
Ni (0.000, 0.740, 0.741)
Ni (0.257, 0.258, 0.505)
Ni (0.257, 0.742, 0.505)
Ni (0.258, 0.000, 0.750)
Ni (0.263, 0.248, 0.004)
Ni (0.263, 0.752, 0.004)
Ni (0.267, 0.500, 0.255)
Ni (0.733, 0.500, 0.745)
Ni (0.737, 0.248, 0.996)
Ni (0.737, 0.752, 0.996)
Ni (0.742, 0.000, 0.250)
Ni (0.743, 0.258, 0.495)
Ni (0.743, 0.742, 0.495)
As (0.000, 0.000, 0.500)
As (0.000, 0.500, 0.000)
As (0.420, 0.500, 0.809)
As (0.425, 0.000, 0.311)
As (0.575, 0.000, 0.689)
As (0.580, 0.500, 0.191)
O (0.114, 0.000, 0.388)
O (0.114, 0.277, 0.113)
O (0.114, 0.723, 0.113)
O (0.118, 0.500, 0.890)
O (0.120, 0.214, 0.617)
O (0.120, 0.786, 0.617)
O (0.129, 0.000, 0.882)
O (0.139, 0.500, 0.365)
O (0.370, 0.241, 0.373)
O (0.370, 0.256, 0.871)
O (0.370, 0.744, 0.871)
O (0.370, 0.759, 0.373)
O (0.371, 0.000, 0.130)
O (0.371, 0.500, 0.629)
O (0.381, 0.000, 0.625)
O (0.385, 0.500, 0.126)
O (0.615, 0.500, 0.874)
O (0.619, 0.000, 0.375)
O (0.629, 0.000, 0.870)
O (0.629, 0.500, 0.371)
O (0.630, 0.241, 0.627)
O (0.630, 0.256, 0.129)
O (0.630, 0.744, 0.129)
O (0.630, 0.759, 0.627)
O (0.861, 0.500, 0.635)
O (0.871, 0.000, 0.118)
O (0.880, 0.214, 0.383)
O (0.880, 0.786, 0.383)
O (0.882, 0.500, 0.110)
O (0.886, 0.000, 0.612)
O (0.886, 0.277, 0.887)
O (0.886, 0.723, 0.887)